Record 1
DFT (PBE-GGA) results for a relaxed Tm3AgHg2 crystal.

Unit cell a=5.1530 b=5.1530 c=12.6215 alpha=90.00 beta=90.00 gamma=120.00
Last column: nearest neighbours and their distance in Å.
Space group P-3m1 (No. 164)
Asymmetric unit:
1 Tm 0.0000 0.0000 0.2469 (multiplicity 2)  5 Hg 3.12-3.19, 3 Ag 3.14
2 Tm 0.3333 0.6667 0.4145 (multiplicity 2)  1 Ag 3.13, 7 Hg 3.16-3.21
3 Tm 0.3333 0.6667 0.9178 (multiplicity 2)  4 Ag 3.13-3.16, 4 Hg 3.14-3.15
4 Ag 0.3333 0.6667 0.1662 (multiplicity 2)  8 Tm 3.13-3.16
5 Hg 0.0000 0.0000 0.0000 (multiplicity 1)  8 Tm 3.12-3.15
6 Hg 0.0000 0.0000 0.5000 (multiplicity 1)  8 Tm 3.16-3.19
7 Hg 0.3333 0.6667 0.6691 (multiplicity 2)  8 Tm 3.14-3.21

Formation energy from the elements in eV/atom: -0.438
Energy relative to the lowest polymorph listed for this composition in kcal/mol of atoms: 0.00



Record 2
DFT (PBE-GGA) results for a relaxed TmAgHg2 crystal.

Unit cell a=3.5802 b=3.5802 c=6.9561 alpha=90.00 beta=90.00 gamma=90.00
Last column: nearest neighbours and their distance in Å.
Space group P4/mmm (No. 123)
Asymmetric unit:
1 Tm 0.0000 0.0000 0.0000 (multiplicity 1)  8 Hg 3.13, 2 Ag 3.48
2 Ag 0.0000 0.0000 0.5000 (multiplicity 1)  8 Hg 3.01
3 Hg 0.5000 0.5000 0.2648 (multiplicity 2)  4 Ag 3.01, 4 Tm 3.13, 1 Hg 3.27

Formation energy from the elements in eV/atom: -0.225



Record 3
DFT (PBE-GGA) results for a relaxed TmAgHg2 crystal.

Unit cell a=3.5856 b=3.5856 c=26.1850 alpha=90.00 beta=90.00 gamma=120.00
Last column: nearest neighbours and their distance in Å.
Space group R3m (No. 160, hexagonal axes)
Asymmetric unit:
1 Tm 0.0000 0.0000 0.0000 (multiplicity 3)  6 Hg 3.07-3.08
2 Ag 0.0000 0.0000 0.1675 (multiplicity 3)  6 Hg 2.93-2.95
3 Hg 0.0000 0.0000 0.4206 (multiplicity 3)  3 Ag 2.95, 3 Tm 3.08
4 Hg 0.0000 0.0000 0.5800 (multiplicity 3)  3 Ag 2.93, 3 Tm 3.07

Formation energy from the elements in eV/atom: -0.106